First-principles (SCAN) data for a crystal of FeSbPt2 relaxed with PBEsol, as listed in Alexandria.

Unit cell a=4.689 b=4.689 c=4.258 alpha=107.06 beta=107.06 gamma=46.40
Fractional coordinates of all 4 atoms:
1 Fe 0.000 0.000 0.000
2 Sb 0.234 0.234 0.684
3 Pt 0.489 0.489 0.469
4 Pt 0.736 0.736 0.162

## Properties
Magnetization (μB per atom): 0.911
Fermi-level density of states (states/eV/cell): 2.07
Formation energy from raw total energies (meV/atom): -149
Calculated volume (A^3/atom): 16.06